(1)
# YNiMo2 (PBE, relaxed)
# Offset from the most stable computed form = 0.108 eV/atom
# Energy of formation = 0.226 eV/atom
# Spin magnetization = 0.010 μB/cell
data_YNiMo2
_chemical_formula_sum 'Y4 Ni4 Mo8'
_cell_length_a 6.481
_cell_length_b 6.481
_cell_length_c 6.481
_cell_angle_alpha 90.00
_cell_angle_beta 90.00
_cell_angle_gamma 90.00
_space_group_name_H-M_alt 'F -4 3 m'
_space_group_IT_number 216
_space_group_name_Hall 'F -4 2 3'
loop_
_atom_site_label
_atom_site_fract_x
_atom_site_fract_y
_atom_site_fract_z
_atom_site_occupancy
Y1 0.000 0.000 0.000 1
Ni1 0.250 0.250 0.250 1
Mo1 0.000 0.000 0.500 1
Mo2 0.250 0.250 0.750 1

(2)
# AgIr3 (PBE, relaxed)
# Energy of formation = 0.551 eV/atom
# Spin magnetization = 0.000 μB/cell
data_AgIr3
_chemical_formula_sum 'Ag1 Ir3'
_cell_length_a 4.745
_cell_length_b 4.745
_cell_length_c 2.744
_cell_angle_alpha 90.00
_cell_angle_beta 90.00
_cell_angle_gamma 90.00
_space_group_name_H-M_alt 'P 4/m m m'
_space_group_IT_number 123
_space_group_name_Hall '-P 4 2'
loop_
_atom_site_label
_atom_site_fract_x
_atom_site_fract_y
_atom_site_fract_z
_atom_site_occupancy
Ag1 0.000 0.000 0.000 1
Ir1 0.000 0.500 0.500 1
Ir2 0.500 0.500 0.000 1

(3)
# KLiSi2 (PBE, relaxed)
# Formation energy (no corrections) = 0.152 eV/atom
# Offset from the most stable computed form = 0.139 eV/atom
# Spin magnetization = 0.000 μB/cell
data_KLiSi2
_chemical_formula_sum 'K1 Li1 Si2'
_cell_length_a 3.381
_cell_length_b 3.381
_cell_length_c 8.150
_cell_angle_alpha 90.00
_cell_angle_beta 90.00
_cell_angle_gamma 90.00
_space_group_name_H-M_alt 'P 4 m m'
_space_group_IT_number 99
loop_
_space_group_symop_operation_xyz
'x,y,z'
'-y,x,z'
'-x,-y,z'
'y,-x,z'
'-x,y,z'
'y,x,z'
'x,-y,z'
'-y,-x,z'
loop_
_atom_site_label
_atom_site_fract_x
_atom_site_fract_y
_atom_site_fract_z
_atom_site_occupancy
K1 0.000 0.000 0.000 1
Li1 0.500 0.500 0.396 1
Si1 0.000 0.000 0.587 1
Si2 0.500 0.500 0.703 1

(4)
# Be2TlSe (PBE, relaxed)
# Formation energy (no corrections) = 0.439 eV/atom
# Offset from the most stable computed form = 0.398 eV/atom
# Spin magnetization = 0.000 μB/cell
data_Be2TlSe
_chemical_formula_sum 'Be4 Tl2 Se2'
_cell_length_a 3.326
_cell_length_b 6.733
_cell_length_c 7.351
_cell_angle_alpha 90.00
_cell_angle_beta 90.00
_cell_angle_gamma 90.00
_space_group_name_H-M_alt 'C m m m'
_space_group_IT_number 65
_space_group_name_Hall '-C 2 2'
loop_
_atom_site_label
_atom_site_fract_x
_atom_site_fract_y
_atom_site_fract_z
_atom_site_occupancy
Be1 0.000 0.000 0.205 1
Tl1 0.000 0.500 0.500 1
Se1 0.000 0.500 0.000 1